# 1
Material: CrSeBr4
Method: DFT, PBE
State: relaxed

Lattice parameters (Å, degrees): 6.1947 6.1947 6.1947 60.00 60.00 60.00
Closest atoms and distances in Å follow each position.
Fractional positions:
Cr1 0.7500 0.7500 0.7500  12 Br 3.63, 4 Se 3.79
Se1 0.0000 0.0000 0.0000  12 Br 3.63, 4 Cr 3.79
Br1 0.8737 0.3754 0.3754  6 Br 3.09-3.11
Br2 0.3754 0.3754 0.8737  6 Br 3.09-3.11
Br3 0.3754 0.8737 0.3754  6 Br 3.09-3.11
Br4 0.3754 0.3754 0.3754  6 Br 3.09-3.11

Computed properties:
Volume   168 Å³/cell
Uncorrected formation energy   886.1 meV per atom
Magnetization   3.2 μB/cell
Space-group type   F-43m (216)
E   -2.414 eV/atom

---

# 2
Material: CrSe3Br
Method: DFT, PBE
State: relaxed

Lattice parameters (Å, degrees): 5.1676 5.1676 5.1676 90.00 90.00 90.00
Closest atoms and distances in Å follow each position.
Fractional positions:
Cr1 0.5000 0.5000 0.5000  12 Se 3.65
Se1 0.0000 0.5000 0.0000  2 Br 2.58
Se2 0.0000 0.0000 0.5000  2 Br 2.58
Se3 0.5000 0.0000 0.0000  2 Br 2.58
Br1 0.0000 0.0000 0.0000  6 Se 2.58

Computed properties:
Volume   138 Å³/cell
Uncorrected formation energy   1025.4 meV per atom
Magnetization   3.8 μB/cell
Space-group type   Pm-3m (221)
E   -3.325 eV/atom
ΔE to the lowest computed polymorph   0.7881 eV/atom

---

# 3
Material: CrSe2Br
Method: DFT, PBE
State: relaxed

Lattice parameters (Å, degrees): 9.6592 9.6592 9.6592 20.51 20.51 20.51
Closest atoms and distances in Å follow each position.
Fractional positions:
Br1 0.4690 0.4690 0.4690  3 Cr 2.60
Cr1 0.7434 0.7434 0.7434  3 Se 2.43, 3 Br 2.60
Se1 0.0271 0.0271 0.0271  3 Cr 2.43
Se2 0.2605 0.2605 0.2605  9 Se 3.44-3.46

Computed properties:
Volume   97 Å³/cell
Uncorrected formation energy   -92.0 meV per atom
Magnetization   2.6 μB/cell
Space-group type   R3m (160)
E   -4.658 eV/atom
ΔE to the lowest computed polymorph   0.2731 eV/atom

---

# 4
Material: Cr2SeBr
Method: DFT, PBE
State: relaxed

Lattice parameters (Å, degrees): 3.4758 3.5164 7.0782 89.97 90.00 90.00
Closest atoms and distances in Å follow each position.
Fractional positions:
Br1 0.5000 0.7500 0.7500  4 Cr 2.73
Cr1 0.0000 0.7482 0.0479  2 Br 2.73, 4 Se 2.85-2.86, 1 Cr 2.86
Cr2 0.0000 0.7518 0.4521  2 Br 2.73, 4 Se 2.85-2.86, 1 Cr 2.86
Se1 0.5000 0.2500 0.2500  8 Cr 2.85-2.86

Computed properties:
Volume   87 Å³/cell
Uncorrected formation energy   32.5 meV per atom
Magnetization   9.0 μB/cell
Space-group type   P2/m (10)
E   -6.069 eV/atom
ΔE to the lowest computed polymorph   0.1198 eV/atom

---

# 5
Material: CrSe2Br
Method: DFT, PBE
State: relaxed

Lattice parameters (Å, degrees): 3.6483 4.4713 7.6584 96.17 90.00 90.00
Closest atoms and distances in Å follow each position.
Fractional positions:
Br1 0.0000 0.7018 0.6090  2 Cr 2.53
Cr1 0.5000 0.7431 0.8389  4 Se 2.48-2.53, 2 Br 2.53
Se1 0.0000 0.7836 0.0587  2 Cr 2.48
Se2 0.5000 0.2715 0.9934  2 Cr 2.53

Computed properties:
Volume   124 Å³/cell
Uncorrected formation energy   -317.0 meV per atom
Magnetization   2.7 μB/cell
Space-group type   Pm (6)
E   -4.883 eV/atom
ΔE to the lowest computed polymorph   0.0481 eV/atom

---

# 6
Material: CrSe2Br
Method: DFT, PBE
State: relaxed

Lattice parameters (Å, degrees): 3.7869 5.0101 6.1363 54.29 90.00 90.00
Closest atoms and distances in Å follow each position.
Fractional positions:
Br1 0.5000 0.2500 0.2500  2 Cr 2.59
Cr1 0.5000 0.7500 0.7500  4 Se 2.57, 2 Br 2.59
Se1 0.0000 0.9572 0.8976  1 Se 2.38, 2 Cr 2.57
Se2 0.0000 0.5428 0.6024  1 Se 2.38, 2 Cr 2.57

Computed properties:
Volume   95 Å³/cell
Uncorrected formation energy   -365.2 meV per atom
Magnetization   3.1 μB/cell
Space-group type   P2/m (10)
E   -4.932 eV/atom
ΔE to the lowest computed polymorph   0.0000 eV/atom

---

# 7
Material: Cr2SeBr
Method: DFT, PBE
State: relaxed

Lattice parameters (Å, degrees): 7.2620 7.2620 7.2620 151.59 150.77 41.22
Closest atoms and distances in Å follow each position.
Fractional positions:
Br1 0.2885 0.7885 0.5000  6 Cr 2.90-3.23
Cr1 0.9840 0.9840 0.0000  4 Se 2.67
Cr2 0.6878 0.1878 0.5000  2 Se 2.69, 4 Br 2.90
Se1 0.5397 0.5397 0.0000  6 Cr 2.67-2.69

Computed properties:
Volume   89 Å³/cell
Uncorrected formation energy   -7.7 meV per atom
Magnetization   9.0 μB/cell
Space-group type   Imm2 (44)
E   -6.109 eV/atom
ΔE to the lowest computed polymorph   0.0796 eV/atom

---

# 8
Material: Cr2SeBr
Method: DFT, PBE
State: relaxed

Lattice parameters (Å, degrees): 3.3682 3.3682 7.3003 90.00 90.00 90.00
Closest atoms and distances in Å follow each position.
Fractional positions:
Br1 0.5000 0.5000 0.8576  5 Cr 2.68-2.83
Cr1 0.0000 0.0000 0.0264  1 Se 2.52, 4 Br 2.68
Cr2 0.5000 0.5000 0.2448  4 Se 2.55, 1 Br 2.83
Se1 0.0000 0.0000 0.3712  5 Cr 2.52-2.55

Computed properties:
Volume   83 Å³/cell
Uncorrected formation energy   28.2 meV per atom
Magnetization   6.1 μB/cell
Space-group type   P4mm (99)
E   -6.073 eV/atom
ΔE to the lowest computed polymorph   0.1155 eV/atom

---

# 9
Material: CrSe2Br
Method: DFT, PBE
State: relaxed

Lattice parameters (Å, degrees): 3.4697 3.4697 7.5987 90.00 90.00 90.00
Closest atoms and distances in Å follow each position.
Fractional positions:
Br1 0.0000 0.0000 0.5674  1 Se 2.90, 4 Cr 3.14
Cr1 0.5000 0.5000 0.8244  5 Se 2.54-2.63
Se1 0.0000 0.0000 0.9488  4 Cr 2.63, 1 Br 2.90, 4 Se 2.93
Se2 0.5000 0.5000 0.1593  1 Cr 2.54

Computed properties:
Volume   91 Å³/cell
Uncorrected formation energy   138.1 meV per atom
Magnetization   2.9 μB/cell
Space-group type   P4mm (99)
E   -4.428 eV/atom
ΔE to the lowest computed polymorph   0.5033 eV/atom

---

# 10
Material: Cr2SeBr
Method: DFT, PBE
State: relaxed

Lattice parameters (Å, degrees): 6.8638 6.8638 6.8638 33.20 33.20 33.20
Closest atoms and distances in Å follow each position.
Fractional positions:
Br1 0.7500 0.7500 0.7500  6 Cr 2.91
Cr1 0.9892 0.9892 0.9892  3 Se 2.67, 3 Br 2.91
Cr2 0.5108 0.5108 0.5108  3 Se 2.67, 3 Br 2.91
Se1 0.2500 0.2500 0.2500  6 Cr 2.67

Computed properties:
Volume   86 Å³/cell
Uncorrected formation energy   -87.3 meV per atom
Magnetization   9.0 μB/cell
Space-group type   R-3m (166)
E   -6.188 eV/atom
ΔE to the lowest computed polymorph   0.0000 eV/atom

---

# 11
Material: CrSe2Br
Method: DFT, PBE
State: relaxed

Lattice parameters (Å, degrees): 6.3350 6.3350 5.7801 75.41 75.41 31.90
Closest atoms and distances in Å follow each position.
Fractional positions:
Br1 0.6050 0.6050 0.4160  2 Cr 2.56
Cr1 0.2347 0.2347 0.1552  4 Se 2.52, 2 Br 2.56
Se1 0.8890 0.8890 0.1012  1 Se 2.40, 2 Cr 2.52
Se2 0.7712 0.7712 0.8276  1 Se 2.40, 2 Cr 2.52

Computed properties:
Volume   118 Å³/cell
Uncorrected formation energy   -334.8 meV per atom
Magnetization   3.0 μB/cell
Space-group type   Cm (8)
E   -4.901 eV/atom
ΔE to the lowest computed polymorph   0.0303 eV/atom

---

# 12
Material: CrSe2Br
Method: DFT, PBE
State: relaxed

Lattice parameters (Å, degrees): 4.8701 4.8701 4.8701 60.00 60.00 60.00
Closest atoms and distances in Å follow each position.
Fractional positions:
Br1 0.5000 0.5000 0.5000  4 Cr 2.98, 4 Se 2.98
Cr1 0.7500 0.7500 0.7500  4 Br 2.98, 4 Se 2.98
Se1 0.0000 0.0000 0.0000  4 Cr 2.98, 4 Se 2.98
Se2 0.2500 0.2500 0.2500  4 Br 2.98, 4 Se 2.98

Computed properties:
Volume   82 Å³/cell
Uncorrected formation energy   506.4 meV per atom
Magnetization   2.9 μB/cell
Space-group type   F-43m (216)
E   -4.060 eV/atom
ΔE to the lowest computed polymorph   0.8716 eV/atom

---

# 13
Material: Cr2SeBr
Method: DFT, PBE
State: relaxed

Lattice parameters (Å, degrees): 7.4790 7.4790 3.6680 90.02 90.02 28.23
Closest atoms and distances in Å follow each position.
Fractional positions:
Br1 0.2683 0.2683 0.1254  4 Cr 2.73
Cr1 0.9959 0.9959 0.1246  4 Se 2.63
Cr2 0.7075 0.7075 0.6254  1 Se 2.60, 4 Br 2.73
Se1 0.5284 0.5284 0.6246  5 Cr 2.60-2.63

Computed properties:
Volume   97 Å³/cell
Uncorrected formation energy   -11.0 meV per atom
Magnetization   9.0 μB/cell
Space-group type   Amm2 (38)
E   -6.112 eV/atom
ΔE to the lowest computed polymorph   0.0763 eV/atom

---

# 14
Material: Cr2SeBr
Method: DFT, PBE
State: relaxed

Lattice parameters (Å, degrees): 7.5212 7.5212 7.5212 151.42 151.42 40.86
Closest atoms and distances in Å follow each position.
Fractional positions:
Br1 0.7500 0.2500 0.5000  4 Cr 2.63
Cr1 0.0000 0.0000 0.0000  4 Se 2.63
Cr2 0.2500 0.7500 0.5000  4 Br 2.63
Se1 0.5000 0.5000 0.0000  4 Cr 2.63

Computed properties:
Volume   97 Å³/cell
Uncorrected formation energy   119.4 meV per atom
Magnetization   9.0 μB/cell
Space-group type   I-4m2 (119)
E   -5.982 eV/atom
ΔE to the lowest computed polymorph   0.2067 eV/atom

---

# 15
Material: CrSiSe2Br
Method: DFT, PBE
State: relaxed

Lattice parameters (Å, degrees): 4.8839 4.8839 5.0477 90.00 90.00 90.00
Closest atoms and distances in Å follow each position.
Fractional positions:
Cr1 0.5000 0.5000 0.5000  4 Br 3.45, 8 Se 3.51
Si1 0.0000 0.0000 0.0000  4 Se 2.44, 2 Br 2.52
Se1 0.0000 0.5000 0.0000  2 Si 2.44
Se2 0.5000 0.0000 0.0000  2 Si 2.44
Br1 0.0000 0.0000 0.5000  2 Si 2.52

Computed properties:
Volume   120 Å³/cell
Uncorrected formation energy   381.6 meV per atom
Magnetization   4.4 μB/cell
Space-group type   P4/mmm (123)
E   -4.356 eV/atom
ΔE to the lowest computed polymorph   0.0647 eV/atom